[1]
The following is a PBE calculation of an optimized crystal structure of Rb2LiTcH6, from OQMD.

Properties
The volume comes out at 13.49 Å³ per atom. The space group is I4/mmm, No. 139. The total DFT energy (no corrections) is -0.2547 Ry/atom.

Cell: 5.758 5.758 5.758 Å, 120.06 120.06 89.89°
Atoms (fractional coordinates):
H (0.724, 0.276, 0.000)
H (0.276, 0.276, 0.000)
H (0.276, 0.724, 0.000)
H (0.276, 0.276, 0.553)
Rb (0.750, 0.250, 0.500)
Li (0.000, 0.000, 0.000)
Rb (0.250, 0.750, 0.500)
Tc (0.500, 0.500, 0.000)
H (0.724, 0.724, 0.000)
H (0.724, 0.724, 0.447)

[2]
The following is a PBE calculation of an optimized crystal structure of Dy2Tm3Lu2Ni2Te2, from OQMD.

Properties
The volume comes out at 25.65 Å³ per atom. The space group is Imm2, No. 44. For the excess energy over the best structure of this formula in the dataset, the calculation gives 2.4 meV/atom. The total DFT energy (no corrections) is -0.3779 Ry/atom.

Cell: 9.278 9.278 9.278 Å, 156.12 67.02 118.42°
Atoms (fractional coordinates):
Te (0.235, 0.235, 0.000)
Lu (0.192, 0.377, 0.815)
Ni (0.805, 0.069, 0.736)
Ni (0.333, 0.069, 0.264)
Dy (0.948, 0.582, 0.366)
Tm (0.583, 0.729, 0.854)
Dy (0.217, 0.582, 0.634)
Lu (0.562, 0.377, 0.185)
Tm (0.876, 0.729, 0.146)
Tm (0.501, 0.001, 0.500)
Te (0.838, 0.338, 0.500)

[3]
The following is a PBE calculation of an optimized crystal structure of UCoS3, from OQMD.

Properties
The volume comes out at 16.63 Å³ per atom. The space group is Pna2_1, No. 33. The total DFT energy (no corrections) is -0.5236 Ry/atom.

Cell: 6.809 5.881 8.304 Å, 90.00 90.00 90.00°
Atoms (fractional coordinates):
S (0.538, 0.146, 0.510)
S (0.816, 0.160, 0.809)
S (0.317, 0.341, 0.208)
Co (0.003, 0.505, 0.760)
S (0.683, 0.659, 0.708)
S (0.038, 0.354, 0.510)
Co (0.997, 0.495, 0.260)
S (0.183, 0.841, 0.708)
S (0.316, 0.340, 0.809)
U (0.873, 0.934, 0.508)
U (0.127, 0.066, 0.008)
Co (0.503, 0.995, 0.760)
S (0.462, 0.854, 0.010)
S (0.817, 0.159, 0.208)
S (0.184, 0.840, 0.309)
Co (0.497, 0.005, 0.260)
U (0.627, 0.434, 0.008)
U (0.373, 0.566, 0.508)
S (0.684, 0.660, 0.309)
S (0.962, 0.646, 0.010)